1.
DFT (GGA-PBE) results for a geometry-optimized CaLaPmHg structure.

Unit cell a=7.949 b=7.949 c=7.949 alpha=90.00 beta=90.00 gamma=90.00
Space group F-43m (No. 216)
Symmetry-distinct sites (fractional):
Ca1 0.000 0.000 0.000
La1 0.000 0.000 0.500
Pm1 0.250 0.250 0.250
Hg1 0.250 0.250 0.750

ΔE_f (kJ per mole of atoms): -1.90
Magnetic moment (μB/atom): 0.42

2.
DFT (GGA-PBE) results for a geometry-optimized CaLaPm2Hg4 structure.

Unit cell a=5.4063 b=5.4063 c=26.6889 alpha=90.00 beta=90.00 gamma=120.00
Space group R-3m (No. 166, hexagonal axes)
Symmetry-distinct sites (fractional):
Ca1 0.0000 0.0000 0.0000
La1 0.0000 0.0000 0.5000
Pm1 0.0000 0.0000 0.2531
Hg1 0.0000 0.0000 0.1234
Hg2 0.0000 0.0000 0.3748

ΔE_f (kJ per mole of atoms): -49.18
Magnetic moment (μB/atom): 0.00

3.
DFT (GGA-PBE) results for a geometry-optimized CaLaPr2Hg4 structure.

Unit cell a=5.4519 b=5.4519 c=26.8225 alpha=90.00 beta=90.00 gamma=120.00
Space group R-3m (No. 166, hexagonal axes)
Symmetry-distinct sites (fractional):
Ca1 0.0000 0.0000 0.0000
La1 0.0000 0.0000 0.5000
Pr1 0.0000 0.0000 0.2530
Hg1 0.0000 0.0000 0.1241
Hg2 0.0000 0.0000 0.3750

ΔE_f (kJ per mole of atoms): -49.40
Magnetic moment (μB/atom): 0.00

4.
DFT (GGA-PBE) results for a geometry-optimized CaLa2PrHg4 structure.

Unit cell a=5.4760 b=5.4760 c=26.8691 alpha=90.00 beta=90.00 gamma=120.00
Space group R-3m (No. 166, hexagonal axes)
Symmetry-distinct sites (fractional):
Ca1 0.0000 0.0000 0.0000
La1 0.0000 0.0000 0.2526
Pr1 0.0000 0.0000 0.5000
Hg1 0.0000 0.0000 0.1251
Hg2 0.0000 0.0000 0.3756

ΔE_f (kJ per mole of atoms): -50.44
Magnetic moment (μB/atom): 0.01

5.
DFT (GGA-PBE) results for a geometry-optimized CaLa2HgPt structure.

Unit cell a=5.614 b=5.614 c=5.649 alpha=90.00 beta=90.00 gamma=90.00
Space group P4/mmm (No. 123)
Symmetry-distinct sites (fractional):
Ca1 0.000 0.000 0.000
La1 0.000 0.500 0.500
Hg1 0.500 0.500 0.000
Pt1 0.000 0.000 0.500

ΔE_f (kJ per mole of atoms): -47.19
Magnetic moment (μB/atom): 0.00

6.
DFT (GGA-PBE) results for a geometry-optimized Ca2LaHgPt structure.

Unit cell a=5.604 b=5.604 c=5.533 alpha=90.00 beta=90.00 gamma=90.00
Space group P4/mmm (No. 123)
Symmetry-distinct sites (fractional):
Ca1 0.000 0.500 0.000
La1 0.000 0.000 0.500
Hg1 0.500 0.500 0.500
Pt1 0.000 0.000 0.000

ΔE_f (kJ per mole of atoms): -51.76
Magnetic moment (μB/atom): 0.00

7.
DFT (GGA-PBE) results for a geometry-optimized CaLa2HgRh structure.

Unit cell a=5.472 b=5.472 c=5.621 alpha=90.00 beta=90.00 gamma=90.00
Space group P4/mmm (No. 123)
Symmetry-distinct sites (fractional):
Ca1 0.000 0.000 0.000
La1 0.000 0.500 0.500
Hg1 0.500 0.500 0.000
Rh1 0.000 0.000 0.500

Energy above the most stable polymorph in this dataset (meV/atom): 0
ΔE_f (kJ per mole of atoms): -37.62
Magnetic moment (μB/atom): 0.00

8.
DFT (GGA-PBE) results for a geometry-optimized CaLa2HgRh structure.

Unit cell a=5.460 b=5.460 c=5.503 alpha=90.00 beta=90.00 gamma=90.00
Space group P4/mmm (No. 123)
Symmetry-distinct sites (fractional):
Ca1 0.000 0.000 0.000
La1 0.000 0.500 0.500
Hg1 0.500 0.500 0.000
Rh1 0.500 0.500 0.500

Energy above the most stable polymorph in this dataset (meV/atom): 59
ΔE_f (kJ per mole of atoms): -31.95
Magnetic moment (μB/atom): 0.00